# BeP2Ru

Crystalline BeP2Ru at its relaxed geometry (GGA-PBE, the Alexandria database).

Unit cell a=4.256 b=4.256 c=4.866 alpha=107.23 beta=107.23 gamma=49.11
Fractional positions:
Be 0.000 0.000 0.000
P 0.637 0.637 0.239
P 0.721 0.721 0.712
Ru 0.297 0.297 0.020

Properties
magnetic moment	0.000	μB/atom
electronic total energy	-6.1055	eV/atom
D(E_F)	1.2	states/eV per cell
calculated formation energy	-0.15	eV per atom



# Sr2SiCCl

Crystalline Sr2SiCCl at its relaxed geometry (GGA-PBE, the Alexandria database).

Unit cell a=5.420 b=5.420 c=4.442 alpha=90.00 beta=90.00 gamma=90.00
Fractional positions:
Sr 0.000 0.500 0.000
Sr 0.500 0.000 0.000
Si 0.000 0.000 0.500
C 0.500 0.500 0.000
Cl 0.500 0.500 0.500

Properties
magnetic moment	0.420	μB/atom
electronic total energy	-3.5282	eV/atom
D(E_F)	3.3	states/eV per cell
uncorrected formation energy	0.44	eV per atom



# K2Li2P

Crystalline K2Li2P at its relaxed geometry (GGA-PBE, the Alexandria database).

Unit cell a=10.130 b=10.130 c=10.130 alpha=24.67 beta=24.67 gamma=24.67
Fractional positions:
K 0.071 0.071 0.071
K 0.929 0.929 0.929
Li 0.178 0.178 0.178
Li 0.822 0.822 0.822
P 0.500 0.500 0.500

Properties
magnetic moment	0.000	μB/atom
electronic total energy	-2.6871	eV/atom
D(E_F)	1.1	states/eV per cell
calculated formation energy	-0.40	eV per atom



# Ac2AlZn

Crystalline Ac2AlZn at its relaxed geometry (GGA-PBE, the Alexandria database).

Unit cell a=8.260 b=8.260 c=7.888 alpha=103.75 beta=103.75 gamma=33.01
Fractional positions:
Ac 0.157 0.157 0.078
Ac 0.157 0.157 0.578
Ac 0.843 0.843 0.422
Ac 0.843 0.843 0.922
Al 0.498 0.502 0.750
Al 0.502 0.498 0.250
Zn 0.002 0.998 0.250
Zn 0.998 0.002 0.750

Properties
magnetic moment	0.000	μB/atom
electronic total energy	-3.1777	eV/atom
D(E_F)	6.3	states/eV per cell
calculated formation energy	0.13	eV per atom



# Ca2Ac6Sm

Crystalline Ca2Ac6Sm at its relaxed geometry (GGA-PBE, the Alexandria database).

Unit cell a=9.329 b=9.329 c=5.864 alpha=90.00 beta=90.00 gamma=126.49
Fractional positions:
Ca 0.222 0.778 0.000
Ca 0.778 0.222 0.000
Ac 0.143 0.429 0.500
Ac 0.259 0.259 0.000
Ac 0.429 0.143 0.500
Ac 0.571 0.857 0.500
Ac 0.741 0.741 0.000
Ac 0.857 0.571 0.500
Sm 0.000 0.000 0.500

Properties
magnetic moment	0.000	μB/atom
electronic total energy	-3.4148	eV/atom
D(E_F)	15.8	states/eV per cell
calculated formation energy	0.29	eV per atom